Entry from Alexandria: a geometry-optimized Ag2MoSe structure (PBE).

## Properties
Its raw formation energy is 435 meV/atom. Its space-group type is C2/m, No. 12.

Geometry as POSCAR:
```
Ag2MoSe
1.0
5.5712 -1.5346 0.0000
5.5712 1.5346 0.0000
-1.7719 0.0000 4.0877
Ag Mo Se
2 1 1
Cartesian
2.2659 0.0000 0.9890
7.1046 0.0000 3.0987
-0.8860 0.0000 2.0438
5.5712 0.0000 0.0000
```

---

Entry from Alexandria: a geometry-optimized Ag2MoSe structure (PBE).

## Properties
Its raw formation energy is 351 meV/atom. Its space-group type is Cm, No. 8.

Geometry as POSCAR:
```
Ag2MoSe
1.0
4.3013 -1.5439 0.0000
4.3013 1.5439 0.0000
-0.8491 0.0000 5.5148
Ag Mo Se
2 1 1
Cartesian
0.0000 0.0000 0.0000
6.2487 0.0000 1.2821
3.8320 0.0000 2.8967
1.3464 0.0000 3.7223
```

---

Entry from Alexandria: a geometry-optimized AgMoSe3 structure (PBE).

## Properties
Its raw formation energy is 287 meV/atom. Its space-group type is Pm-3m, No. 221.

Geometry as POSCAR:
```
AgMoSe3
1.0
4.9630 0.0000 0.0000
0.0000 4.9630 0.0000
0.0000 0.0000 4.9630
Ag Mo Se
1 1 3
Cartesian
0.0000 0.0000 0.0000
2.4815 2.4815 2.4815
0.0000 2.4815 2.4815
2.4815 0.0000 2.4815
2.4815 2.4815 0.0000
```

---

Entry from Alexandria: a geometry-optimized AgMoSe2 structure (PBE).

## Properties
Its raw formation energy is -18 meV/atom. For the distance to the lowest polymorph of the same formula, the calculation gives 169.2 meV/atom. Its space-group type is Imm2, No. 44.

Geometry as POSCAR:
```
AgMoSe2
1.0
-1.6101 1.6864 7.2799
1.6101 -1.6864 7.2799
1.6101 1.6864 -7.2799
Ag Mo Se
1 1 2
Cartesian
0.0000 0.0000 0.0000
1.6101 0.0000 3.5750
0.0000 0.0000 5.4965
0.0000 1.6864 2.3376
```

---

Entry from Alexandria: a geometry-optimized AgMo2Se structure (PBE).

## Properties
Its raw formation energy is 461 meV/atom. Its space-group type is Imm2, No. 44.

Geometry as POSCAR:
```
AgMo2Se
1.0
-1.5510 2.3712 4.7559
1.5510 -2.3712 4.7559
1.5510 2.3712 -4.7559
Ag Mo Se
1 2 1
Cartesian
0.0000 0.0000 0.0000
1.5510 0.0000 2.7454
0.0000 0.0000 4.7072
0.0000 2.3712 2.1705
```

---

Entry from Alexandria: a geometry-optimized AgMo2Se2 structure (PBE).

## Properties
Its raw formation energy is 231 meV/atom. For the distance to the lowest polymorph of the same formula, the calculation gives 0.0 meV/atom. Its space-group type is I4/mmm, No. 139.

Geometry as POSCAR:
```
AgMo2Se2
1.0
-2.4657 2.4657 4.0977
2.4657 -2.4657 4.0977
2.4657 2.4657 -4.0977
Ag Mo Se
1 2 2
Cartesian
0.0000 0.0000 0.0000
0.0000 0.0000 3.0014
0.0000 0.0000 5.1940
2.4657 0.0000 2.0488
0.0000 2.4657 2.0488
```

---

Entry from Alexandria: a geometry-optimized AgMo2Se structure (PBE).

## Properties
Its raw formation energy is 636 meV/atom. Its space-group type is C2/m, No. 12.

Geometry as POSCAR:
```
AgMo2Se
1.0
2.7536 -4.3983 0.0000
2.7536 4.3983 0.0000
-0.8453 0.0000 2.7558
Ag Mo Se
1 2 1
Cartesian
0.0000 0.0000 0.0000
0.9542 2.1991 1.3779
0.9542 -2.1991 1.3779
2.7536 0.0000 0.0000
```

---

Entry from Alexandria: a geometry-optimized AgMo2Se structure (PBE).

## Properties
Its raw formation energy is 654 meV/atom. Its space-group type is I-42d, No. 122.

Geometry as POSCAR:
```
AgMo2Se
1.0
-1.9169 1.9169 9.8777
1.9169 -1.9169 9.8777
1.9169 1.9169 -9.8777
Ag Mo Se
2 4 2
Cartesian
0.0000 0.0000 0.0000
0.0000 1.9169 4.9388
0.9584 -0.7821 7.4083
1.1347 0.9584 2.4694
0.9584 2.6990 -2.4694
0.7821 0.9584 12.3471
1.9169 0.0000 4.9388
0.0000 0.0000 9.8777
```

---

Entry from Alexandria: a geometry-optimized AgMoSe2 structure (PBE).

## Properties
Its raw formation energy is 118 meV/atom. For the distance to the lowest polymorph of the same formula, the calculation gives 305.1 meV/atom. Its space-group type is P4mm, No. 99.

Geometry as POSCAR:
```
AgMoSe2
1.0
3.5132 0.0000 0.0000
0.0000 3.5132 0.0000
0.0000 0.0000 6.8424
Ag Mo Se
1 1 2
Cartesian
0.0000 0.0000 0.0000
1.7566 1.7566 1.7026
0.0000 0.0000 2.7835
1.7566 1.7566 5.9979
```

---

Entry from Alexandria: a geometry-optimized Ag2MoSe structure (PBE).

## Properties
Its raw formation energy is 105 meV/atom. Its space-group type is R3m, No. 160.

Geometry as POSCAR:
```
Ag2MoSe
1.0
1.5314 0.8842 9.4101
-1.5314 0.8842 9.4101
0.0000 -1.7683 9.4101
Ag Mo Se
2 1 1
Cartesian
0.0000 0.0000 0.0000
0.0000 0.0000 7.1030
0.0000 0.0000 21.1818
0.0000 0.0000 13.5186
```

---

Entry from Alexandria: a geometry-optimized AgMo2Se structure (PBE).

## Properties
Its raw formation energy is 660 meV/atom. Its space-group type is Cmmm, No. 65.

Geometry as POSCAR:
```
AgMo2Se
1.0
1.5825 -2.3349 0.0000
1.5825 2.3349 0.0000
0.0000 0.0000 9.1258
Ag Mo Se
1 2 1
Cartesian
0.0000 0.0000 0.0000
1.5825 0.0000 2.4316
1.5825 0.0000 6.6942
0.0000 0.0000 4.5629
```

---

Entry from Alexandria: a geometry-optimized AgMoSe2 structure (PBE).

## Properties
Its raw formation energy is -34 meV/atom. For the distance to the lowest polymorph of the same formula, the calculation gives 152.7 meV/atom. Its space-group type is Amm2, No. 38.

Geometry as POSCAR:
```
AgMoSe2
1.0
3.3152 0.0000 0.0000
0.0000 1.6066 7.6642
0.0000 -1.6066 7.6642
Ag Mo Se
1 1 2
Cartesian
0.0000 0.0000 0.0000
1.6576 0.0000 3.7395
0.0000 0.0000 12.6824
1.6576 0.0000 9.4788
```

---

Entry from Alexandria: a geometry-optimized AgMo2Se structure (PBE).

## Properties
Its raw formation energy is 246 meV/atom. Its space-group type is R3m, No. 160.

Geometry as POSCAR:
```
AgMo2Se
1.0
1.4873 0.8587 9.2990
-1.4873 0.8587 9.2990
0.0000 -1.7174 9.2990
Ag Mo Se
1 2 1
Cartesian
0.0000 0.0000 0.0000
0.0000 0.0000 13.9475
0.0000 0.0000 20.9772
0.0000 0.0000 6.4825
```

---

Entry from Alexandria: a geometry-optimized AgMoSe2 structure (PBE).

## Properties
Its raw formation energy is 195 meV/atom. For the distance to the lowest polymorph of the same formula, the calculation gives 382.3 meV/atom. Its space-group type is P2/m, No. 10.

Geometry as POSCAR:
```
AgMoSe2
1.0
2.6838 0.0000 0.0000
0.0000 3.2883 0.0000
-0.0327 0.0000 9.3410
Ag Mo Se
1 1 2
Cartesian
0.0000 0.0000 0.0000
-0.0163 0.0000 4.6705
-0.0144 1.6442 6.6719
2.6655 1.6442 2.6691
```

---

Entry from Alexandria: a geometry-optimized Ag2MoSe structure (PBE).

## Properties
Its raw formation energy is 473 meV/atom. Its space-group type is C2/m, No. 12.

Geometry as POSCAR:
```
Ag2MoSe
1.0
2.6612 -4.9133 0.0000
2.6612 4.9133 0.0000
-0.0086 0.0000 2.7325
Ag Mo Se
2 1 1
Cartesian
1.3306 2.4567 0.0000
1.3306 -2.4567 0.0000
-0.0043 0.0000 1.3663
2.6569 0.0000 1.3663
```

---

One value per record, in order, for theoretical density: 9.28, 8.86, 5.99, 7.60, 8.99, 7.63, 9.42, 8.66, 7.11, 8.48, 9.32, 7.36, 8.83, 7.29, 9.08 g cm⁻³.